one | Computed, not measured: CdFe2Te after structural relaxation at the PBE-GGA level of DFT.

a b c (Å): 3.155 3.155 7.678
angles (deg): 90.00 90.00 90.00
Sites, in units of the cell vectors:
Cd: 0.000 0.000 0.000
Fe: 0.000 0.000 0.377
Fe: 0.500 0.500 0.220
Te: 0.500 0.500 0.576

Results
Space-group type: P4mm
Magnetic moment, μB/cell: 4.4
Calculated volume, Å³/cell: 76.4
Density of states at the Fermi level, states/eV/atom: 0.82

---

two | Computed, not measured: CdFe2Te after structural relaxation at the PBE-GGA level of DFT.

a b c (Å): 4.526 4.526 4.526
angles (deg): 60.00 60.00 60.00
Sites, in units of the cell vectors:
Cd: 0.000 0.000 0.000
Fe: 0.250 0.250 0.250
Fe: 0.750 0.750 0.750
Te: 0.500 0.500 0.500

Results
Space-group type: Fm-3m
Magnetic moment, μB/cell: 3.9
Calculated volume, Å³/cell: 65.6
Density of states at the Fermi level, states/eV/atom: 1.64

---

three | Computed, not measured: CdFe2Te after structural relaxation at the PBE-GGA level of DFT.

a b c (Å): 4.691 4.691 4.691
angles (deg): 60.00 60.00 60.00
Sites, in units of the cell vectors:
Cd: 0.000 0.000 0.000
Fe: 0.250 0.250 0.250
Fe: 0.500 0.500 0.500
Te: 0.750 0.750 0.750

Results
Space-group type: F-43m
Magnetic moment, μB/cell: 5.4
Calculated volume, Å³/cell: 73.0
Density of states at the Fermi level, states/eV/atom: 0.84

---

four | Computed, not measured: CdFe2Te after structural relaxation at the PBE-GGA level of DFT.

a b c (Å): 8.506 8.506 8.506
angles (deg): 21.20 21.20 21.20
Sites, in units of the cell vectors:
Cd: 0.000 0.000 0.000
Fe: 0.246 0.246 0.246
Fe: 0.754 0.754 0.754
Te: 0.500 0.500 0.500

Results
Space-group type: R-3m
Magnetic moment, μB/cell: 4.8
Calculated volume, Å³/cell: 70.5
Density of states at the Fermi level, states/eV/atom: 0.60

---

Tell me which of them is the least stable. Sure, it is three.

---

one | Computed, not measured: CdFe2Te after structural relaxation at the PBE-GGA level of DFT.

a b c (Å): 4.222 4.222 6.935
angles (deg): 107.08 107.08 44.14
Sites, in units of the cell vectors:
Cd: 0.000 0.000 0.000
Fe: 0.224 0.224 0.761
Fe: 0.481 0.481 0.640
Te: 0.712 0.712 0.434

Results
Space-group type: Cm
Magnetic moment, μB/cell: 4.5
Calculated volume, Å³/cell: 81.6
Density of states at the Fermi level, states/eV/atom: 0.82

---

two | Computed, not measured: CdFe2Te after structural relaxation at the PBE-GGA level of DFT.

a b c (Å): 6.207 6.207 6.207
angles (deg): 152.00 137.16 51.96
Sites, in units of the cell vectors:
Cd: 0.000 0.000 0.000
Fe: 0.348 0.848 0.500
Fe: 0.519 0.519 0.000
Te: 0.723 0.223 0.500

Results
Space-group type: Imm2
Magnetic moment, μB/cell: 5.0
Calculated volume, Å³/cell: 76.0
Density of states at the Fermi level, states/eV/atom: 0.77

---

Tell me which of them is the least stable. Sure, it is two.

---

one | Computed, not measured: CdFe2Te after structural relaxation at the PBE-GGA level of DFT.

a b c (Å): 5.229 5.229 5.229
angles (deg): 135.49 135.49 64.77
Sites, in units of the cell vectors:
Cd: 0.000 0.000 0.000
Fe: 0.250 0.750 0.500
Fe: 0.500 0.500 0.000
Te: 0.750 0.250 0.500

Results
Space-group type: I-4m2
Magnetic moment, μB/cell: 5.1
Calculated volume, Å³/cell: 69.3
Density of states at the Fermi level, states/eV/atom: 0.94

---

two | Computed, not measured: CdFe2Te after structural relaxation at the PBE-GGA level of DFT.

a b c (Å): 3.964 5.319 5.319
angles (deg): 40.06 90.00 90.00
Sites, in units of the cell vectors:
Cd: 0.000 0.000 0.000
Fe: 0.000 0.715 0.715
Fe: 0.500 0.576 0.576
Te: 0.500 0.290 0.290

Results
Space-group type: Amm2
Magnetic moment, μB/cell: 5.1
Calculated volume, Å³/cell: 72.2
Density of states at the Fermi level, states/eV/atom: 1.01

---

Tell me which of them is the least stable. Sure, it is one.

---

one | Computed, not measured: Th3CdFe after structural relaxation at the PBE-GGA level of DFT.

a b c (Å): 4.960 6.998 7.925
angles (deg): 90.00 90.00 90.00
Sites, in units of the cell vectors:
Th: 0.250 0.000 0.158
Th: 0.250 0.250 0.584
Th: 0.250 0.500 0.158
Th: 0.750 0.000 0.842
Th: 0.750 0.500 0.842
Th: 0.750 0.750 0.416
Cd: 0.250 0.750 0.668
Cd: 0.750 0.250 0.332
Fe: 0.250 0.250 0.905
Fe: 0.750 0.750 0.095

Results
Space-group type: Pmmn
Magnetic moment, μB/cell: 0.0
Calculated volume, Å³/cell: 275.1
Density of states at the Fermi level, states/eV/atom: 0.98

---

two | Computed, not measured: Th3CdFe after structural relaxation at the PBE-GGA level of DFT.

a b c (Å): 5.223 5.223 5.223
angles (deg): 90.00 90.00 90.00
Sites, in units of the cell vectors:
Th: 0.000 0.000 0.500
Th: 0.000 0.500 0.000
Th: 0.500 0.000 0.000
Cd: 0.500 0.500 0.500
Fe: 0.000 0.000 0.000

Results
Space-group type: Pm-3m
Magnetic moment, μB/cell: 0.0
Calculated volume, Å³/cell: 142.5
Density of states at the Fermi level, states/eV/atom: 1.25

---

Tell me which of them is the least stable. Sure, it is one.

---

one | Computed, not measured: TiCd2Fe after structural relaxation at the PBE-GGA level of DFT.

a b c (Å): 6.060 6.060 6.060
angles (deg): 99.72 99.72 131.47
Sites, in units of the cell vectors:
Ti: 0.000 0.000 0.000
Ti: 0.750 0.250 0.500
Cd: 0.179 0.625 0.054
Cd: 0.375 0.429 0.554
Cd: 0.571 0.125 0.946
Cd: 0.875 0.821 0.446
Fe: 0.250 0.750 0.500
Fe: 0.500 0.500 0.000

Results
Space-group type: I-42d
Magnetic moment, μB/cell: 0.0
Calculated volume, Å³/cell: 152.0
Density of states at the Fermi level, states/eV/atom: 1.67

---

two | Computed, not measured: TiCd2Fe after structural relaxation at the PBE-GGA level of DFT.

a b c (Å): 4.552 4.552 4.552
angles (deg): 60.00 60.00 60.00
Sites, in units of the cell vectors:
Ti: 0.000 0.000 0.000
Cd: 0.250 0.250 0.250
Cd: 0.750 0.750 0.750
Fe: 0.500 0.500 0.500

Results
Space-group type: Fm-3m
Magnetic moment, μB/cell: 0.0
Calculated volume, Å³/cell: 66.7
Density of states at the Fermi level, states/eV/atom: 1.73

---

Tell me which of them is the least stable. Sure, it is one.

---

one | Computed, not measured: TiCd3Fe after structural relaxation at the PBE-GGA level of DFT.

a b c (Å): 5.243 5.243 5.243
angles (deg): 90.00 90.00 90.00
Sites, in units of the cell vectors:
Ti: 0.000 0.000 0.000
Cd: 0.000 0.000 0.500
Cd: 0.000 0.500 0.000
Cd: 0.500 0.000 0.000
Fe: 0.500 0.500 0.500

Results
Space-group type: Pm-3m
Magnetic moment, μB/cell: 5.3
Calculated volume, Å³/cell: 144.1
Density of states at the Fermi level, states/eV/atom: 1.80

---

two | Computed, not measured: TiCd3Fe after structural relaxation at the PBE-GGA level of DFT.

a b c (Å): 4.839 4.839 4.839
angles (deg): 90.00 90.00 90.00
Sites, in units of the cell vectors:
Ti: 0.000 0.000 0.000
Cd: 0.000 0.500 0.500
Cd: 0.500 0.000 0.500
Cd: 0.500 0.500 0.000
Fe: 0.500 0.500 0.500

Results
Space-group type: Pm-3m
Magnetic moment, μB/cell: 0.0
Calculated volume, Å³/cell: 113.3
Density of states at the Fermi level, states/eV/atom: 3.19

---

Tell me which of them is the least stable. Sure, it is one.

---

one | Computed, not measured: TiCdFe3 after structural relaxation at the PBE-GGA level of DFT.

a b c (Å): 4.372 4.372 4.372
angles (deg): 90.00 90.00 90.00
Sites, in units of the cell vectors:
Ti: 0.000 0.000 0.000
Cd: 0.500 0.500 0.500
Fe: 0.000 0.000 0.500
Fe: 0.000 0.500 0.000
Fe: 0.500 0.000 0.000

Results
Space-group type: Pm-3m
Magnetic moment, μB/cell: 4.9
Calculated volume, Å³/cell: 83.6
Density of states at the Fermi level, states/eV/atom: 0.87

---

two | Computed, not measured: TiCdFe3 after structural relaxation at the PBE-GGA level of DFT.

a b c (Å): 4.710 4.710 4.710
angles (deg): 90.00 90.00 90.00
Sites, in units of the cell vectors:
Ti: 0.000 0.000 0.000
Cd: 0.500 0.500 0.500
Fe: 0.000 0.500 0.500
Fe: 0.500 0.000 0.500
Fe: 0.500 0.500 0.000

Results
Space-group type: Pm-3m
Magnetic moment, μB/cell: 6.7
Calculated volume, Å³/cell: 104.5
Density of states at the Fermi level, states/eV/atom: 1.22

---

Tell me which of them is the least stable. Sure, it is two.

---

one | Computed, not measured: TlCd2Fe after structural relaxation at the PBE-GGA level of DFT.

a b c (Å): 3.097 3.097 8.910
angles (deg): 90.00 90.00 90.00
Sites, in units of the cell vectors:
Tl: 0.000 0.000 0.000
Cd: 0.500 0.500 0.303
Cd: 0.500 0.500 0.697
Fe: 0.000 0.000 0.500

Results
Space-group type: P4/mmm
Magnetic moment, μB/cell: 2.5
Calculated volume, Å³/cell: 85.4
Density of states at the Fermi level, states/eV/atom: 0.48

---

two | Computed, not measured: TlCd2Fe after structural relaxation at the PBE-GGA level of DFT.

a b c (Å): 5.089 3.116 5.526
angles (deg): 90.00 110.10 90.00
Sites, in units of the cell vectors:
Tl: 0.000 0.000 0.000
Cd: 0.000 0.500 0.500
Cd: 0.500 0.000 0.500
Fe: 0.500 0.500 0.000

Results
Space-group type: P2/m
Magnetic moment, μB/cell: 2.9
Calculated volume, Å³/cell: 82.3
Density of states at the Fermi level, states/eV/atom: 0.46

---

three | Computed, not measured: TlCd2Fe after structural relaxation at the PBE-GGA level of DFT.

a b c (Å): 4.947 4.947 4.947
angles (deg): 60.00 60.00 60.00
Sites, in units of the cell vectors:
Tl: 0.000 0.000 0.000
Cd: 0.250 0.250 0.250
Cd: 0.750 0.750 0.750
Fe: 0.500 0.500 0.500

Results
Space-group type: Fm-3m
Magnetic moment, μB/cell: 2.7
Calculated volume, Å³/cell: 85.6
Density of states at the Fermi level, states/eV/atom: 1.25

---

Tell me which of them is the least stable. Sure, it is three.

---

one | Computed, not measured: TlCd2Fe after structural relaxation at the PBE-GGA level of DFT.

a b c (Å): 6.655 6.655 6.655
angles (deg): 154.14 138.38 49.65
Sites, in units of the cell vectors:
Tl: 0.000 0.000 0.000
Cd: 0.303 0.803 0.500
Cd: 0.697 0.197 0.500
Fe: 0.500 0.500 0.000

Results
Space-group type: Immm
Magnetic moment, μB/cell: 2.4
Calculated volume, Å³/cell: 85.1
Density of states at the Fermi level, states/eV/atom: 0.81

---

two | Computed, not measured: TlCd2Fe after structural relaxation at the PBE-GGA level of DFT.

a b c (Å): 3.147 4.086 6.462
angles (deg): 90.00 90.37 90.00
Sites, in units of the cell vectors:
Tl: 0.000 0.000 0.000
Cd: 0.001 0.000 0.543
Cd: 0.498 0.500 0.295
Fe: 0.502 0.500 0.755

Results
Space-group type: Pm
Magnetic moment, μB/cell: 2.7
Calculated volume, Å³/cell: 83.1
Density of states at the Fermi level, states/eV/atom: 0.82

---

Tell me which of them is the least stable. Sure, it is two.

---

one | Computed, not measured: TlCd2Fe after structural relaxation at the PBE-GGA level of DFT.

a b c (Å): 3.084 3.084 8.774
angles (deg): 90.00 90.00 90.00
Sites, in units of the cell vectors:
Tl: 0.000 0.000 0.000
Cd: 0.000 0.000 0.566
Cd: 0.500 0.500 0.300
Fe: 0.500 0.500 0.771

Results
Space-group type: P4mm
Magnetic moment, μB/cell: 2.8
Calculated volume, Å³/cell: 83.4
Density of states at the Fermi level, states/eV/atom: 0.69

---

two | Computed, not measured: TlCd2Fe after structural relaxation at the PBE-GGA level of DFT.

a b c (Å): 5.122 5.122 3.263
angles (deg): 90.00 90.00 90.00
Sites, in units of the cell vectors:
Tl: 0.000 0.000 0.000
Cd: 0.000 0.500 0.500
Cd: 0.500 0.000 0.500
Fe: 0.500 0.500 0.000

Results
Space-group type: P4/mmm
Magnetic moment, μB/cell: 2.8
Calculated volume, Å³/cell: 85.6
Density of states at the Fermi level, states/eV/atom: 0.77

---

three | Computed, not measured: TlCd2Fe after structural relaxation at the PBE-GGA level of DFT.

a b c (Å): 5.450 5.450 5.450
angles (deg): 134.18 134.18 66.81
Sites, in units of the cell vectors:
Tl: 0.000 0.000 0.000
Cd: 0.250 0.750 0.500
Cd: 0.500 0.500 0.000
Fe: 0.750 0.250 0.500

Results
Space-group type: I-4m2
Magnetic moment, μB/cell: 2.5
Calculated volume, Å³/cell: 81.9
Density of states at the Fermi level, states/eV/atom: 1.22

---

four | Computed, not measured: TlCd2Fe after structural relaxation at the PBE-GGA level of DFT.

a b c (Å): 6.156 6.156 3.048
angles (deg): 104.08 104.08 122.88
Sites, in units of the cell vectors:
Tl: 0.000 0.000 0.000
Cd: 0.000 0.500 0.000
Cd: 0.500 0.000 0.000
Fe: 0.500 0.500 0.000

Results
Space-group type: C2/m
Magnetic moment, μB/cell: 2.7
Calculated volume, Å³/cell: 83.5
Density of states at the Fermi level, states/eV/atom: 0.48

---

Tell me which of them is the least stable. Sure, it is two.

---

one | Computed, not measured: TlCd2Fe after structural relaxation at the PBE-GGA level of DFT.

a b c (Å): 5.643 5.643 5.568
angles (deg): 116.02 116.02 31.70
Sites, in units of the cell vectors:
Tl: 0.000 0.000 0.000
Cd: 0.214 0.214 0.611
Cd: 0.438 0.438 0.442
Fe: 0.731 0.731 0.047

Results
Space-group type: Cm
Magnetic moment, μB/cell: 2.4
Calculated volume, Å³/cell: 82.9
Density of states at the Fermi level, states/eV/atom: 0.44

---

two | Computed, not measured: TlCd2Fe after structural relaxation at the PBE-GGA level of DFT.

a b c (Å): 4.285 4.285 4.428
angles (deg): 90.00 90.00 90.00
Sites, in units of the cell vectors:
Tl: 0.000 0.000 0.000
Cd: 0.000 0.500 0.500
Cd: 0.500 0.000 0.500
Fe: 0.500 0.500 0.000

Results
Space-group type: P4/mmm
Magnetic moment, μB/cell: 2.8
Calculated volume, Å³/cell: 81.3
Density of states at the Fermi level, states/eV/atom: 0.45

---

three | Computed, not measured: TlCd2Fe after structural relaxation at the PBE-GGA level of DFT.

a b c (Å): 9.914 9.914 9.914
angles (deg): 18.43 18.43 18.43
Sites, in units of the cell vectors:
Tl: 0.000 0.000 0.000
Cd: 0.239 0.239 0.239
Cd: 0.761 0.761 0.761
Fe: 0.500 0.500 0.500

Results
Space-group type: R-3m
Magnetic moment, μB/cell: 2.8
Calculated volume, Å³/cell: 85.1
Density of states at the Fermi level, states/eV/atom: 0.91

---

four | Computed, not measured: TlCd2Fe after structural relaxation at the PBE-GGA level of DFT.

a b c (Å): 5.298 5.298 3.195
angles (deg): 90.00 90.00 112.93
Sites, in units of the cell vectors:
Tl: 0.000 0.000 0.000
Cd: 0.000 0.500 0.500
Cd: 0.500 0.000 0.500
Fe: 0.500 0.500 0.000

Results
Space-group type: Cmmm
Magnetic moment, μB/cell: 2.5
Calculated volume, Å³/cell: 82.6
Density of states at the Fermi level, states/eV/atom: 0.61

---

Tell me which of them is the least stable. Sure, it is four.